# 1
# Zr4Re3 | the Alexandria database | PBE | relaxed
# Formation energy = -0.26 eV per atom
# Total DFT energy (no corrections) = -10.481 eV/atom
# Symmetry = P6/mmm, No. 191
data_Zr4Re3
_chemical_formula_sum 'Zr4 Re3'
_cell_length_a 5.249
_cell_length_b 5.249
_cell_length_c 5.665
_cell_angle_alpha 90.00
_cell_angle_beta 90.00
_cell_angle_gamma 60.00
_space_group_name_H-M_alt 'P 1'
_space_group_IT_number 1
loop_
_space_group_symop_operation_xyz
'x,y,z'
loop_
_atom_site_label
_atom_site_fract_x
_atom_site_fract_y
_atom_site_fract_z
Re1 0.500 0.000 0.000
Re2 0.500 0.500 0.000
Re3 0.000 0.500 0.000
Zr1 0.667 0.667 0.500
Zr2 0.333 0.333 0.500
Zr3 0.000 0.000 0.747
Zr4 0.000 0.000 0.253


# 2
# Tb2TmZrN4 | the Alexandria database | PBE | relaxed
# Total DFT energy (no corrections) = -8.691 eV/atom
# Symmetry = P2/m, No. 10
data_Tb2TmZrN4
_chemical_formula_sum 'Tb2 Tm1 Zr1 N4'
_cell_length_a 3.396
_cell_length_b 5.886
_cell_length_c 5.904
_cell_angle_alpha 109.25
_cell_angle_beta 90.00
_cell_angle_gamma 90.00
_space_group_name_H-M_alt 'P 1'
_space_group_IT_number 1
loop_
_space_group_symop_operation_xyz
'x,y,z'
loop_
_atom_site_label
_atom_site_fract_x
_atom_site_fract_y
_atom_site_fract_z
N1 0.500 0.761 0.766
N2 0.000 0.754 0.237
N3 0.000 0.246 0.763
N4 0.500 0.239 0.234
Tb1 0.000 0.500 0.500
Tb2 0.500 0.000 0.500
Zr1 0.000 0.000 0.000
Tm1 0.500 0.500 0.000


# 3
# ZrTcSe | the Alexandria database | PBE | relaxed
# Total DFT energy (no corrections) = -7.988 eV/atom
# Symmetry = C2/m, No. 12
data_ZrTcSe
_chemical_formula_sum 'Zr4 Tc4 Se4'
_cell_length_a 7.191
_cell_length_b 3.215
_cell_length_c 9.849
_cell_angle_alpha 90.00
_cell_angle_beta 98.44
_cell_angle_gamma 90.00
_space_group_name_H-M_alt 'P 1'
_space_group_IT_number 1
loop_
_space_group_symop_operation_xyz
'x,y,z'
loop_
_atom_site_label
_atom_site_fract_x
_atom_site_fract_y
_atom_site_fract_z
Tc1 0.569 0.500 0.363
Tc2 0.431 0.000 0.137
Tc3 0.431 0.500 0.637
Tc4 0.569 0.000 0.863
Se1 0.164 0.500 0.170
Se2 0.836 0.000 0.330
Se3 0.164 0.000 0.670
Se4 0.836 0.500 0.830
Zr1 0.744 0.000 0.595
Zr2 0.256 0.000 0.405
Zr3 0.744 0.500 0.095
Zr4 0.256 0.500 0.905


# 4
# Mn3Ag | the Alexandria database | PBE | relaxed
# Formation energy = 0.51 eV per atom
# Total DFT energy (no corrections) = -7.076 eV/atom
# Symmetry = I4/mmm, No. 139
data_Mn3Ag
_chemical_formula_sum 'Mn3 Ag1'
_cell_length_a 4.906
_cell_length_b 4.906
_cell_length_c 4.906
_cell_angle_alpha 133.12
_cell_angle_beta 133.12
_cell_angle_gamma 68.47
_space_group_name_H-M_alt 'P 1'
_space_group_IT_number 1
loop_
_space_group_symop_operation_xyz
'x,y,z'
loop_
_atom_site_label
_atom_site_fract_x
_atom_site_fract_y
_atom_site_fract_z
Mn1 0.250 0.750 0.500
Mn2 0.750 0.250 0.500
Mn3 0.500 0.500 0.000
Ag1 0.000 0.000 0.000


# 5
# MnNbW2 | the Alexandria database | PBE | relaxed
# Formation energy = 0.11 eV per atom
# Total DFT energy (no corrections) = -11.178 eV/atom
# Symmetry = Fm-3m, No. 225
data_MnNbW2
_chemical_formula_sum 'Mn1 Nb1 W2'
_cell_length_a 4.423
_cell_length_b 4.423
_cell_length_c 4.423
_cell_angle_alpha 60.00
_cell_angle_beta 60.00
_cell_angle_gamma 60.00
_space_group_name_H-M_alt 'P 1'
_space_group_IT_number 1
loop_
_space_group_symop_operation_xyz
'x,y,z'
loop_
_atom_site_label
_atom_site_fract_x
_atom_site_fract_y
_atom_site_fract_z
Mn1 0.000 0.000 0.000
Nb1 0.500 0.500 0.500
W1 0.750 0.750 0.750
W2 0.250 0.250 0.250


# 6
# PrErRe4 | the Alexandria database | PBE | relaxed
# Formation energy = -0.04 eV per atom
# Total DFT energy (no corrections) = -9.894 eV/atom
# Symmetry = F-43m, No. 216
data_PrErRe4
_chemical_formula_sum 'Pr1 Er1 Re4'
_cell_length_a 5.466
_cell_length_b 5.466
_cell_length_c 5.466
_cell_angle_alpha 60.00
_cell_angle_beta 60.00
_cell_angle_gamma 60.00
_space_group_name_H-M_alt 'P 1'
_space_group_IT_number 1
loop_
_space_group_symop_operation_xyz
'x,y,z'
loop_
_atom_site_label
_atom_site_fract_x
_atom_site_fract_y
_atom_site_fract_z
Re1 0.125 0.625 0.625
Re2 0.625 0.625 0.125
Re3 0.625 0.125 0.625
Re4 0.625 0.625 0.625
Pr1 0.250 0.250 0.250
Er1 0.000 0.000 0.000


# 7
# NaMg10Cd3 | the Alexandria database | PBE | relaxed
# Formation energy = 0.08 eV per atom
# Total DFT energy (no corrections) = -1.348 eV/atom
# Symmetry = Fm-3m, No. 225
data_NaMg10Cd3
_chemical_formula_sum 'Na2 Mg20 Cd6'
_cell_length_a 10.090
_cell_length_b 10.090
_cell_length_c 10.090
_cell_angle_alpha 60.00
_cell_angle_beta 60.00
_cell_angle_gamma 60.00
_space_group_name_H-M_alt 'P 1'
_space_group_IT_number 1
loop_
_space_group_symop_operation_xyz
'x,y,z'
loop_
_atom_site_label
_atom_site_fract_x
_atom_site_fract_y
_atom_site_fract_z
Mg1 0.652 0.000 0.348
Mg2 0.652 0.000 0.000
Mg3 0.619 0.619 0.143
Mg4 0.000 0.348 0.000
Mg5 0.000 0.652 0.000
Mg6 0.381 0.381 0.381
Mg7 0.000 0.652 0.348
Mg8 0.000 0.000 0.652
Mg9 0.000 0.348 0.652
Mg10 0.143 0.619 0.619
Mg11 0.348 0.652 0.000
Mg12 0.381 0.381 0.857
Mg13 0.348 0.000 0.652
Mg14 0.000 0.000 0.348
Mg15 0.619 0.619 0.619
Mg16 0.348 0.000 0.000
Mg17 0.381 0.857 0.381
Mg18 0.619 0.143 0.619
Mg19 0.857 0.381 0.381
Mg20 0.652 0.348 0.000
Na1 0.250 0.250 0.250
Na2 0.750 0.750 0.750
Cd1 0.730 0.270 0.730
Cd2 0.270 0.270 0.730
Cd3 0.730 0.730 0.270
Cd4 0.270 0.730 0.730
Cd5 0.270 0.730 0.270
Cd6 0.730 0.270 0.270


# 8
# Rb2TlSbI6 | the Alexandria database | PBE | relaxed
# Total DFT energy (no corrections) = -2.606 eV/atom
# Symmetry = Fm-3m, No. 225
data_Rb2TlSbI6
_chemical_formula_sum 'Rb2 Tl1 Sb1 I6'
_cell_length_a 8.951
_cell_length_b 8.951
_cell_length_c 8.951
_cell_angle_alpha 60.00
_cell_angle_beta 60.00
_cell_angle_gamma 60.00
_space_group_name_H-M_alt 'P 1'
_space_group_IT_number 1
loop_
_space_group_symop_operation_xyz
'x,y,z'
loop_
_atom_site_label
_atom_site_fract_x
_atom_site_fract_y
_atom_site_fract_z
I1 0.239 0.761 0.239
I2 0.761 0.239 0.761
I3 0.239 0.239 0.761
I4 0.761 0.761 0.239
I5 0.239 0.761 0.761
I6 0.761 0.239 0.239
Rb1 0.750 0.750 0.750
Rb2 0.250 0.250 0.250
Sb1 0.000 0.000 0.000
Tl1 0.500 0.500 0.500


# 9
# Th3Sn2H | the Alexandria database | PBE | relaxed
# Total DFT energy (no corrections) = -5.887 eV/atom
# Symmetry = C2/c, No. 15
data_Th3Sn2H
_chemical_formula_sum 'Th6 Sn4 H2'
_cell_length_a 5.937
_cell_length_b 6.927
_cell_length_c 8.331
_cell_angle_alpha 101.74
_cell_angle_beta 110.88
_cell_angle_gamma 90.00
_space_group_name_H-M_alt 'P 1'
_space_group_IT_number 1
loop_
_space_group_symop_operation_xyz
'x,y,z'
loop_
_atom_site_label
_atom_site_fract_x
_atom_site_fract_y
_atom_site_fract_z
Th1 0.886 0.859 0.753
Th2 0.489 0.250 0.000
Th3 0.114 0.141 0.247
Th4 0.866 0.359 0.753
Th5 0.134 0.641 0.247
Th6 0.511 0.750 0.000
Sn1 0.696 0.522 0.377
Sn2 0.304 0.478 0.623
Sn3 0.681 0.022 0.377
Sn4 0.319 0.978 0.623
H1 0.094 0.250 0.000
H2 0.906 0.750 0.000


# 10
# YH3Rh | the Alexandria database | PBE | relaxed
# Total DFT energy (no corrections) = -5.386 eV/atom
# Symmetry = Cm, No. 8
data_YH3Rh
_chemical_formula_sum 'Y2 H6 Rh2'
_cell_length_a 6.008
_cell_length_b 3.813
_cell_length_c 4.718
_cell_angle_alpha 90.00
_cell_angle_beta 90.99
_cell_angle_gamma 108.50
_space_group_name_H-M_alt 'P 1'
_space_group_IT_number 1
loop_
_space_group_symop_operation_xyz
'x,y,z'
loop_
_atom_site_label
_atom_site_fract_x
_atom_site_fract_y
_atom_site_fract_z
H1 0.399 0.903 0.075
H2 0.415 0.912 0.557
H3 0.913 0.160 0.956
H4 0.952 0.680 0.311
H5 0.624 0.516 0.814
H6 0.172 0.290 0.554
Y1 0.527 0.467 0.314
Y2 0.060 0.734 0.804
Rh1 0.944 0.176 0.317
Rh2 0.615 0.011 0.822


# 11
# CuPbW3 | the Alexandria database | PBE | relaxed
# Formation energy = 3.42 eV per atom
# Total DFT energy (no corrections) = -5.911 eV/atom
# Symmetry = Pm-3m, No. 221
data_CuPbW3
_chemical_formula_sum 'Cu1 Pb1 W3'
_cell_length_a 4.987
_cell_length_b 4.987
_cell_length_c 4.987
_cell_angle_alpha 90.00
_cell_angle_beta 90.00
_cell_angle_gamma 90.00
_space_group_name_H-M_alt 'P 1'
_space_group_IT_number 1
loop_
_space_group_symop_operation_xyz
'x,y,z'
loop_
_atom_site_label
_atom_site_fract_x
_atom_site_fract_y
_atom_site_fract_z
Pb1 0.000 0.000 0.000
W1 0.000 0.000 0.500
W2 0.500 0.000 0.000
W3 0.000 0.500 0.000
Cu1 0.500 0.500 0.500


# 12
# Ni2TeOs | the Alexandria database | PBE | relaxed
# Total DFT energy (no corrections) = -6.038 eV/atom
# Symmetry = Cmmm, No. 65
data_Ni2TeOs
_chemical_formula_sum 'Ni2 Te1 Os1'
_cell_length_a 6.027
_cell_length_b 4.516
_cell_length_c 3.017
_cell_angle_alpha 90.01
_cell_angle_beta 59.95
_cell_angle_gamma 120.00
_space_group_name_H-M_alt 'P 1'
_space_group_IT_number 1
loop_
_space_group_symop_operation_xyz
'x,y,z'
loop_
_atom_site_label
_atom_site_fract_x
_atom_site_fract_y
_atom_site_fract_z
Os1 0.000 0.500 0.500
Te1 0.500 0.500 0.000
Ni1 0.500 0.000 0.500
Ni2 0.000 0.000 0.000


> Which value of total DFT energy (no corrections) does entry 5 give?

-11.178 eV/atom


> Look up the total DFT energy (no corrections) of the eighth one.

-2.606 eV/atom